# 1
Na5B9C: relaxed, GGA-PBE.

a b c (Å): 18.2859 2.8112 13.9192
angles (deg): 90.00 111.42 90.00
Last column: nearest neighbours and their distance in Å.
Space group C2/m (No. 12)
Symmetry-distinct sites (fractional):
Na 0.0000 0.0000 0.0000  10 B 2.69-2.81, 2 Na 2.81, 2 C 2.87
Na 0.0000 0.0000 0.5000  12 B 2.73-2.94, 2 Na 2.81
Na 0.0990 0.5000 0.1982  10 B 2.70-2.93, 2 C 2.75, 2 Na 2.81
Na 0.1005 0.5000 0.7026  12 B 2.71-2.96, 2 Na 2.81
Na 0.1995 0.0000 0.9020  9 B 2.69-2.84, 3 C 2.74-2.80, 2 Na 2.81
Na 0.2001 0.0000 0.3992  12 B 2.70-2.98, 2 Na 2.81
B 0.0297 0.0000 0.3077  3 B 1.70-1.79
B 0.0328 0.0000 0.8177  3 B 1.70-1.77
B 0.0701 0.5000 0.3891  3 B 1.68-1.79
B 0.0727 0.5000 0.8966  3 B 1.75-1.77
B 0.1316 0.5000 0.5134  3 B 1.68-1.80
B 0.1381 0.5000 0.0252  2 C 1.63, 1 B 1.75
B 0.1726 0.0000 0.5959  3 B 1.67-1.80
B 0.2260 0.0000 0.2001  1 C 1.56
B 0.2341 0.0000 0.7191  3 B 1.67-1.78
C 0.1688 0.0000 0.0852  3 B 1.56-1.63

Summary:
Total magnetization: 0.000 Bohr magnetons per cell
Energy relative to the lowest polymorph listed for this composition: 4 meV per atom

# 2
Na2B3C: relaxed, GGA-PBE.

a b c (Å): 23.1750 2.8399 10.0446
angles (deg): 90.00 106.60 90.00
Last column: nearest neighbours and their distance in Å.
Space group Cm (No. 8)
Symmetry-distinct sites (fractional):
Na 0.0000 0.0000 0.0000  10 B 2.66-2.95, 2 C 2.74, 6 Na 2.84-2.98
Na 0.0001 0.5000 0.4956  11 B 2.69-2.90, 1 C 2.77, 6 Na 2.84-2.99
Na 0.0995 0.5000 0.2031  9 B 2.68-2.85, 3 C 2.71-2.78, 6 Na 2.84-2.97
Na 0.1013 0.0000 0.6978  10 B 2.68-2.95, 2 C 2.71, 6 Na 2.84-2.99
Na 0.2000 0.0000 0.4000  7 B 2.65-2.78, 5 C 2.68-2.72, 6 Na 2.84-2.95
Na 0.2026 0.5000 0.8962  9 B 2.66-2.80, 3 C 2.73-2.79, 6 Na 2.84-2.97
Na 0.2993 0.5000 0.5997  10 B 2.66-2.81, 2 C 2.82-2.86, 6 Na 2.84-2.96
Na 0.3004 0.0000 0.0976  6 B 2.65-2.71, 6 C 2.67-2.71, 6 Na 2.84-2.94
Na 0.3995 0.0000 0.7981  9 B 2.66-2.88, 3 C 2.69-2.75, 4 Na 2.84-2.96
Na 0.3988 0.5000 0.2967  9 B 2.67-2.78, 3 C 2.71-2.79, 6 Na 2.84-2.97
B 0.0168 0.0000 0.2823  3 B 1.76-1.80
B 0.0230 0.5000 0.7941  3 B 1.64-1.80
B 0.0864 0.0000 0.4198  2 C 1.64, 1 B 1.80
B 0.0863 0.5000 0.9203  3 B 1.64-1.78
B 0.1277 0.0000 0.0032  1 C 1.54
B 0.1805 0.5000 0.6073  1 C 1.63, 2 B 1.75
B 0.2178 0.5000 0.1832  3 C 1.60-1.63
B 0.2199 0.0000 0.6866  3 B 1.75-1.81
B 0.2892 0.0000 0.8271  2 C 1.63, 1 B 1.81
B 0.3093 0.0000 0.3663  2 C 1.62, 1 B 1.73
B 0.3756 0.0000 0.5005  3 B 1.73-1.76
B 0.3832 0.5000 0.0165  3 C 1.64-1.65
B 0.4158 0.5000 0.5802  3 B 1.67-1.76
B 0.4765 0.0000 0.2026  1 C 1.61, 2 B 1.76
B 0.4801 0.5000 0.7084  3 B 1.67-1.80
C 0.1179 0.5000 0.4818  3 B 1.63-1.64
C 0.1870 0.0000 0.1220  3 B 1.54-1.63
C 0.2795 0.5000 0.3057  3 B 1.60-1.62
C 0.3198 0.5000 0.8899  3 B 1.63-1.65
C 0.4144 0.0000 0.0794  3 B 1.61-1.64

Summary:
Total magnetization: 0.000 Bohr magnetons per cell
Energy relative to the lowest polymorph listed for this composition: 16 meV per atom

# 3
NaBC: relaxed, GGA-PBE.

a b c (Å): 8.3860 5.4795 5.4831
angles (deg): 90.00 90.00 90.00
Last column: nearest neighbours and their distance in Å.
Space group Cmce (No. 64)
Symmetry-distinct sites (fractional):
Na 0.1890 0.0000 0.0000  6 C 2.61-2.87, 6 B 2.64-2.83
B 0.0000 0.1415 0.3584  3 C 1.57-1.63
C 0.0000 0.1562 0.6556  3 B 1.57-1.63

Summary:
Total magnetization: 0.000 Bohr magnetons per cell

# 4
Na5B6C4: relaxed, GGA-PBE.

a b c (Å): 2.8543 2.8543 42.4062
angles (deg): 90.00 90.00 120.00
Last column: nearest neighbours and their distance in Å.
Space group P-3m1 (No. 164)
Symmetry-distinct sites (fractional):
Na 0.0000 0.0000 0.0000  6 C 2.67, 6 B 2.67, 6 Na 2.85
Na 0.0000 0.0000 0.0991  6 C 2.67, 6 B 2.67, 6 Na 2.85
Na 0.0000 0.0000 0.1983  6 C 2.67, 6 B 2.67, 6 Na 2.85
Na 0.0000 0.0000 0.2980  9 B 2.69-2.72, 3 C 2.70, 6 Na 2.85
Na 0.0000 0.0000 0.4002  9 B 2.69-2.72, 3 C 2.69, 6 Na 2.85
Na 0.0000 0.0000 0.5000  6 C 2.67, 6 B 2.67, 6 Na 2.85
B 0.3333 0.6667 0.0495  3 C 1.65
B 0.3333 0.6667 0.2478  3 C 1.65
B 0.3333 0.6667 0.3491  3 B 1.65
B 0.3333 0.6667 0.4504  3 C 1.65
B 0.3333 0.6667 0.6509  3 B 1.65
B 0.3333 0.6667 0.8514  3 C 1.65
C 0.3333 0.6667 0.1486  3 B 1.65
C 0.3333 0.6667 0.5495  3 B 1.65
C 0.3333 0.6667 0.7523  3 B 1.65
C 0.3333 0.6667 0.9505  3 B 1.65

Summary:
Total magnetization: 0.000 Bohr magnetons per cell
Energy relative to the lowest polymorph listed for this composition: 25 meV per atom

Number 1: formation energy 0.2403 eV per atom, E -4.82 eV per atom. Number 2: formation energy 0.1493 eV per atom, E -5.17 eV per atom. Number 3: formation energy 0.0346 eV per atom, E -5.71 eV per atom. Number 4: formation energy 0.0764 eV per atom, E -5.49 eV per atom.